Computed, not measured: crystalline KCu3S at its relaxed geometry at the PBE level of DFT.

For the uncorrected energy, the calculation gives -8.6 eV per formula unit. The density is 3.5 Mg/m³. The value obtained for the formation energy from raw total energies is 1.78 eV/atom.

POSCAR file:
```
KCu3S
1.0
4.9782 0.0000 0.0000
0.0000 4.9782 0.0000
0.0000 0.0000 4.9782
K S Cu
1 1 3
Direct
0.0000 0.0000 0.0000
0.5000 0.5000 0.5000
0.0000 0.0000 0.5000
0.5000 0.0000 0.0000
0.0000 0.5000 0.0000
```